SCAN Ag2PtCl, PBEsol geometry; uncorrected formation energy = 0.34 eV per atom; mass density = 11.085 g/cm³; distance to the lowest polymorph of the same formula = 132.1 kJ/mol of formula units
1.0
2.9388 0.0000 0.0000
0.0000 4.8451 0.0000
0.0000 0.0000 9.3904
Ag Pt Cl
4 2 2
direct
0.0000 0.0000 0.2476
0.0000 0.0000 0.7524
0.5000 0.5000 0.2524
0.5000 0.5000 0.7476
0.0000 0.5000 0.0000
0.5000 0.0000 0.5000
0.0000 0.5000 0.5000
0.5000 0.0000 0.0000